No. 1
A geometry-optimized ScAgPd14 structure. Source: Alexandria via LeMat-Bulk, functional GGA-PBE.

The space group is P4/mmm (No. 123) and the conventional cell measures 5.618, 5.618 and 7.972 Å, with angles of 90.00, 90.00 and 90.00 degrees. Symmetry generates all atoms from Sc at (0.000, 0.000, 0.000), Ag at (0.500, 0.500, 0.000), Pd at (0.000, 0.000, 0.500), Pd at (0.000, 0.500, 0.000), Pd at (0.000, 0.500, 0.500), Pd at (0.248, 0.248, 0.251) and Pd at (0.500, 0.500, 0.500).

The calculation puts the raw total energy at -5.3241 eV/atom.

=====

No. 2
A geometry-optimized Sc2AgPd4 structure. Source: Alexandria via LeMat-Bulk, functional GGA-PBE.

The space group is I4/mmm (No. 139) and the conventional cell measures 3.862, 3.862 and 18.331 Å, with angles of 90.00, 90.00 and 90.00 degrees. Symmetry generates all atoms from Sc at (0.000, 0.000, 0.126), Ag at (0.000, 0.000, 0.500), Pd at (0.000, 0.000, 0.356) and Pd at (0.000, 0.500, 0.250).

As for the energy above the most stable polymorph in this dataset: 0 meV/atom.

=====

Number 1: D(E_F) 29.4 states/eV/f.u.. Number 2: D(E_F) 3.1 states/eV/f.u..